A plane-wave DFT calculation with PBE with a Hubbard U was carried out for a relaxed AgW3F crystal.

Cell: 5.2460 5.2460 5.2460 Å, 90.00 90.00 90.00°
Space group Pm-3m (No. 221)
Symmetry-distinct sites (fractional):
1 Ag 0.0000 0.0000 0.0000 (multiplicity 1)
2 W 0.0000 0.0000 0.5000 (multiplicity 3)
3 F 0.5000 0.5000 0.5000 (multiplicity 1)

D(E_F): 6.2 states/eV per cell
offset from the most stable computed form: 0.682 eV/atom